1.
{"formula": "AlCdCo", "functional": "PBEsol", "state": "optimized geometry", "cell": [[2.840, 0.000, 0.000], [-1.420, 2.459, 0.000], [0.000, 0.000, 6.474]], "species": ["Co", "Cd", "Al"], "fractional_positions": [[0.667, 0.333, 0.311], [0.333, 0.667, 0.646], [0.000, 0.000, 0.042]], "formation_enthalpy_0k_ev_per_atom": 0.108, "mass_density_g_cm3": 7.3, "energy_ev_per_cell": -12.7, "relative_energy_kj_per_mol_fu": 56}


2.
{"formula": "ZnCr3Hg", "functional": "PBEsol", "state": "optimized geometry", "cell": [[-2.690, -3.060, -2.940], [2.995, 1.097, -3.882], [3.006, -3.831, 1.237]], "species": ["Cr", "Cr", "Cr", "Hg", "Zn"], "fractional_positions": [[0.500, 0.000, 0.000], [0.000, 0.500, 0.000], [0.000, 0.000, 0.500], [0.000, 0.000, 0.000], [0.500, 0.500, 0.500]], "formation_enthalpy_0k_ev_per_atom": 1.759, "mass_density_g_cm3": 5.5, "energy_ev_per_cell": -24.1}


3.
{"formula": "LiNiTe2Br", "functional": "PBEsol", "state": "optimized geometry", "cell": [[4.293, 0.000, 0.000], [0.000, 5.746, 0.000], [0.000, 0.000, 5.746]], "species": ["Li", "Ni", "Te", "Te", "Br"], "fractional_positions": [[0.500, 0.500, 0.500], [0.500, 0.000, 0.000], [0.000, 0.000, 0.500], [0.000, 0.500, 0.000], [0.000, 0.000, 0.000]], "mass_density_g_cm3": 4.7, "raw_formation_energy_ev_per_fu": 2.6, "energy_ev_per_cell": -14.5}


4.
{"formula": "TiZn2IrI", "functional": "PBEsol", "state": "optimized geometry", "cell": [[4.705, 0.000, 0.000], [0.000, 4.843, 0.000], [0.000, 0.000, 4.843]], "species": ["Ir", "I", "Zn", "Zn", "Ti"], "fractional_positions": [[0.000, 0.000, 0.000], [0.500, 0.500, 0.500], [0.000, 0.000, 0.500], [0.000, 0.500, 0.000], [0.500, 0.000, 0.000]], "mass_density_g_cm3": 7.5, "raw_formation_energy_ev_per_fu": 0.8, "energy_ev_per_cell": -22.3}


5.
{"formula": "B2Sb2Ir", "functional": "PBEsol", "state": "optimized geometry", "cell": [[3.179, 0.000, 0.000], [0.000, 7.014, 0.000], [0.000, 0.000, 7.014]], "species": ["Ir", "Ir", "B", "B", "B", "B", "Sb", "Sb", "Sb", "Sb"], "fractional_positions": [[0.000, 0.000, 0.000], [0.000, 0.500, 0.500], [0.500, 0.836, 0.336], [0.500, 0.664, 0.836], [0.500, 0.336, 0.164], [0.500, 0.164, 0.664], [0.000, 0.347, 0.847], [0.000, 0.847, 0.653], [0.000, 0.653, 0.153], [0.000, 0.153, 0.347]], "mass_density_g_cm3": 9.7, "raw_formation_energy_ev_per_fu": 6.8, "energy_ev_per_cell": -52.4, "relative_energy_kj_per_mol_fu": 236}


6.
{"formula": "ScGe2Bi2", "functional": "PBEsol", "state": "optimized geometry", "cell": [[4.281, 0.000, 0.000], [0.000, 4.281, 0.000], [-2.140, -2.140, 7.151]], "species": ["Sc", "Bi", "Bi", "Ge", "Ge"], "fractional_positions": [[0.000, 0.000, 0.000], [0.750, 0.250, 0.500], [0.250, 0.750, 0.500], [0.416, 0.416, 0.833], [0.584, 0.584, 0.167]], "formation_enthalpy_0k_ev_per_atom": 0.187, "mass_density_g_cm3": 7.7, "energy_ev_per_cell": -24.1}


7.
{"formula": "Cd5Cu3", "functional": "PBEsol", "state": "optimized geometry", "cell": [[5.357, 0.000, 0.000], [0.000, 7.661, 0.000], [0.000, -3.831, 6.635]], "species": ["Cd", "Cd", "Cd", "Cd", "Cd", "Cd", "Cd", "Cd", "Cd", "Cd", "Cu", "Cu", "Cu", "Cu", "Cu", "Cu"], "fractional_positions": [[0.000, 0.333, 0.667], [0.750, 0.763, 0.763], [0.250, 0.000, 0.763], [0.500, 0.333, 0.667], [0.750, 0.000, 0.237], [0.000, 0.667, 0.333], [0.250, 0.237, 0.237], [0.500, 0.667, 0.333], [0.750, 0.237, 0.000], [0.250, 0.763, 0.000], [0.750, 0.401, 0.401], [0.750, 0.599, 0.000], [0.250, 0.599, 0.599], [0.750, 0.000, 0.599], [0.250, 0.000, 0.401], [0.250, 0.401, 0.000]], "formation_enthalpy_0k_ev_per_atom": 0.077, "mass_density_g_cm3": 9.2, "energy_ev_per_cell": -36.7, "relative_energy_kj_per_mol_fu": 24}


8.
{"formula": "CoAg3O", "functional": "PBEsol", "state": "optimized geometry", "cell": [[-3.016, 1.008, 3.364], [-2.341, -3.883, -0.935], [2.618, -2.310, 3.039]], "species": ["Co", "Ag", "Ag", "Ag", "O"], "fractional_positions": [[0.000, 0.000, 0.000], [0.000, 0.500, 0.000], [0.000, 0.000, 0.500], [0.500, 0.000, 0.000], [0.500, 0.500, 0.500]], "mass_density_g_cm3": 6.7, "raw_formation_energy_ev_per_fu": 7.4, "energy_ev_per_cell": -15.6}


9.
{"formula": "Mg2TeS", "functional": "PBEsol", "state": "optimized geometry", "cell": [[6.060, 0.000, 0.000], [0.000, 6.060, 0.000], [-3.030, -3.030, 5.976]], "species": ["Mg", "Mg", "Mg", "Mg", "Te", "Te", "S", "S"], "fractional_positions": [[0.419, 0.875, 0.250], [0.831, 0.375, 0.250], [0.625, 0.581, 0.750], [0.125, 0.169, 0.750], [0.000, 0.000, 0.000], [0.250, 0.750, 0.500], [0.500, 0.500, 0.000], [0.750, 0.250, 0.500]], "mass_density_g_cm3": 3.2, "raw_formation_energy_ev_per_fu": -4.4, "energy_ev_per_cell": -31.4}


10.
{"formula": "Ba2ZrS4", "functional": "PBEsol", "state": "optimized geometry", "cell": [[-1.113, 1.655, -4.510], [-4.786, -0.784, 0.893], [2.288, 6.829, 4.636]], "species": ["S", "S", "S", "S", "Ba", "Ba", "Zr"], "fractional_positions": [[0.164, 0.164, 0.327], [0.000, 0.500, 0.000], [0.836, 0.836, 0.673], [0.500, 0.000, 0.000], [0.359, 0.359, 0.717], [0.641, 0.641, 0.283], [0.000, 0.000, 0.000]], "mass_density_g_cm3": 4.3, "raw_formation_energy_ev_per_fu": -13.6, "energy_ev_per_cell": -44.5}


11.
{"formula": "AgRuPt2", "functional": "PBEsol", "state": "optimized geometry", "cell": [[2.738, 0.000, 0.000], [1.369, 2.371, 0.000], [1.369, 0.790, 9.133]], "species": ["Ru", "Ag", "Pt", "Pt"], "fractional_positions": [[0.500, 0.500, 0.500], [0.000, 0.000, 0.000], [0.754, 0.754, 0.738], [0.246, 0.246, 0.262]], "formation_enthalpy_0k_ev_per_atom": 0.043, "mass_density_g_cm3": 16.8, "energy_ev_per_cell": -27.2, "relative_energy_kj_per_mol_fu": 7}


12.
{"formula": "BeFeW", "functional": "PBEsol", "state": "optimized geometry", "cell": [[2.797, 0.000, 0.000], [0.000, 2.797, 0.000], [-1.399, -1.399, 4.247]], "species": ["Be", "W", "Fe"], "fractional_positions": [[0.980, 0.980, 0.959], [0.669, 0.669, 0.338], [0.352, 0.352, 0.703]], "formation_enthalpy_0k_ev_per_atom": -0.003, "mass_density_g_cm3": 12.4, "energy_ev_per_cell": -26.8}